First-principles (SCAN) data for a PBEsol-optimized structure of Sr3AsSe, as listed in Alexandria via LeMat-Bulk.

The structure in CIF format:
```
data_Sr3AsSe
_cell_length_a 5.6874
_cell_length_b 5.6874
_cell_length_c 5.6874
_cell_angle_alpha 90.00
_cell_angle_beta 90.00
_cell_angle_gamma 90.00
_space_group_name_H-M_alt 'P m -3 m'
_space_group_IT_number 221
_space_group_name_Hall '-P 4 2 3'
loop_
_atom_site_label
_atom_site_type_symbol
_atom_site_fract_x
_atom_site_fract_y
_atom_site_fract_z
Sr1 Sr 0.0000 0.0000 0.5000
As1 As 0.5000 0.5000 0.5000
Se1 Se 0.0000 0.0000 0.0000
```

## Properties
* formation energy from raw total energies: -0.94 eV/atom

First-principles (SCAN) data for a PBEsol-optimized structure of MnAlIr2Pt, as listed in Alexandria via LeMat-Bulk.

The structure in CIF format:
```
data_MnAlIr2Pt
_cell_length_a 4.4191
_cell_length_b 4.4191
_cell_length_c 4.4217
_cell_angle_alpha 90.00
_cell_angle_beta 90.00
_cell_angle_gamma 90.00
_space_group_name_H-M_alt 'P 4/m m m'
_space_group_IT_number 123
_space_group_name_Hall '-P 4 2'
loop_
_atom_site_label
_atom_site_type_symbol
_atom_site_fract_x
_atom_site_fract_y
_atom_site_fract_z
Mn1 Mn 0.0000 0.0000 0.0000
Al1 Al 0.5000 0.5000 0.5000
Ir1 Ir 0.0000 0.5000 0.5000
Pt1 Pt 0.5000 0.5000 0.0000
```

## Properties
* total energy: -235.7 eV/f.u.

First-principles (SCAN) data for a PBEsol-optimized structure of Zr2TlAu, as listed in Alexandria via LeMat-Bulk.

The structure in CIF format:
```
data_Zr2TlAu
_cell_length_a 3.6307
_cell_length_b 3.6307
_cell_length_c 6.3406
_cell_angle_alpha 90.00
_cell_angle_beta 90.00
_cell_angle_gamma 90.00
_space_group_name_H-M_alt 'P 4 m m'
_space_group_IT_number 99
loop_
_space_group_symop_operation_xyz
'x,y,z'
'-y,x,z'
'-x,-y,z'
'y,-x,z'
'-x,y,z'
'y,x,z'
'x,-y,z'
'-y,-x,z'
loop_
_atom_site_label
_atom_site_type_symbol
_atom_site_fract_x
_atom_site_fract_y
_atom_site_fract_z
Zr1 Zr 0.0000 0.0000 0.0000
Zr2 Zr 0.5000 0.5000 0.2749
Tl1 Tl 0.5000 0.5000 0.7517
Au1 Au 0.0000 0.0000 0.4928
```

## Properties
* total energy: -204.2 eV/f.u.

First-principles (SCAN) data for a PBEsol-optimized structure of Li4Cr3Cu3Te2O16, as listed in Alexandria via LeMat-Bulk.

The structure in CIF format:
```
data_Li4Cr3Cu3Te2O16
_cell_length_a 10.2904
_cell_length_b 5.7819
_cell_length_c 9.6209
_cell_angle_alpha 90.00
_cell_angle_beta 93.00
_cell_angle_gamma 90.00
_space_group_name_H-M_alt 'C 1 m 1'
_space_group_IT_number 8
loop_
_space_group_symop_operation_xyz
'x,y,z'
'x,-y,z'
'x+1/2,y+1/2,z'
'x+1/2,-y+1/2,z'
loop_
_atom_site_label
_atom_site_type_symbol
_atom_site_fract_x
_atom_site_fract_y
_atom_site_fract_z
Li1 Li 0.0000 0.0000 0.0000
Li2 Li 0.0107 0.0000 0.5101
Li3 Li 0.1559 0.5000 0.9308
Li4 Li 0.3397 0.0000 0.4332
Cr1 Cr 0.0910 0.2545 0.2353
Cr2 Cr 0.1778 0.0000 0.7397
Cu1 Cu 0.3354 0.5000 0.2318
Cu2 Cu 0.4210 0.2455 0.7292
Te1 Te 0.1800 0.5000 0.5064
Te2 Te 0.3344 0.0000 0.0067
O1 O 0.0138 0.0000 0.3200
O2 O 0.0152 0.0000 0.8104
O3 O 0.0253 0.5000 0.3600
O4 O 0.1011 0.2548 0.6097
O5 O 0.1578 0.5000 0.1339
O6 O 0.1694 0.0000 0.1234
O7 O 0.2396 0.2689 0.3661
O8 O 0.2420 0.2184 0.8806
O9 O 0.3240 0.0000 0.6398
O10 O 0.3482 0.5000 0.6019
O11 O 0.4214 0.2503 0.1132
O12 O 0.4736 0.0000 0.8752
```

## Properties
* formation energy from raw total energies: -1.72 eV/atom